[1]
A PBEsol-optimized structure of TiCu3S, computed with meta-GGA SCAN. Values from VASP.

```
&SYSTEM
  ibrav = 0, nat = 5, ntyp = 3
/
ATOMIC_SPECIES
S 32.06 S.upf
Cu 63.55 Cu.upf
Ti 47.87 Ti.upf
CELL_PARAMETERS angstrom
4.2360 0.0000 0.0000
0.0000 4.2360 0.0000
0.0000 0.0000 4.2360
ATOMIC_POSITIONS crystal
S 0.0000 0.0000 0.0000
Cu 0.0000 0.5000 0.0000
Cu 0.0000 0.0000 0.5000
Cu 0.5000 0.0000 0.0000
Ti 0.5000 0.5000 0.5000
```

Calculated values
Raw formation energy, eV per formula unit: 2.859
Space group: Pm-3m, No. 221
V, Å³/f.u.: 76.0
Final energy, eV per formula unit: -68.4

=====

[2]
A PBEsol-optimized structure of Ti5CuS10, computed with meta-GGA SCAN. Values from VASP.

```
&SYSTEM
  ibrav = 0, nat = 16, ntyp = 3
/
ATOMIC_SPECIES
Ti 47.87 Ti.upf
Cu 63.55 Cu.upf
S 32.06 S.upf
CELL_PARAMETERS angstrom
5.8033 -0.0056 0.0004
0.0005 6.6208 -0.0519
2.8905 2.4314 7.1972
ATOMIC_POSITIONS crystal
Ti 0.6944 0.3988 0.1006
Ti 0.3056 0.6012 0.8994
Ti 0.5000 0.0000 0.5000
Ti 0.9021 0.8023 0.7052
Ti 0.0979 0.1977 0.2948
Cu 0.0000 0.5000 0.5000
S 0.6165 0.6494 0.5983
S 0.8144 0.0488 0.1987
S 0.0179 0.4465 0.8019
S 0.2191 0.8501 0.3969
S 0.4164 0.2485 0.9980
S 0.7809 0.1499 0.6031
S 0.9821 0.5535 0.1981
S 0.1856 0.9512 0.8013
S 0.3835 0.3506 0.4017
S 0.5836 0.7515 0.0020
```

Calculated values
Raw formation energy, eV per formula unit: -22.231
Space group: P-1, No. 2
V, Å³/f.u.: 277.3
Final energy, eV per formula unit: -213.9

=====

[3]
A PBEsol-optimized structure of TiVCuS4, computed with meta-GGA SCAN. Values from VASP.

```
&SYSTEM
  ibrav = 0, nat = 14, ntyp = 4
/
ATOMIC_SPECIES
Ti 47.87 Ti.upf
V 50.94 V.upf
Cu 63.55 Cu.upf
S 32.06 S.upf
CELL_PARAMETERS angstrom
-4.2924 5.2733 -1.3336
-6.7375 -1.1864 -1.0065
-4.6021 2.0085 4.7540
ATOMIC_POSITIONS crystal
Ti 0.0000 0.0000 0.5000
Ti 0.5000 0.0000 0.5000
V 0.5000 0.5000 0.5000
V 0.5000 0.0000 0.0000
Cu 0.1231 0.6269 0.1269
Cu 0.8769 0.3731 0.8731
S 0.2556 0.2373 0.2516
S 0.2556 0.7516 0.7373
S 0.7344 0.7522 0.2522
S 0.2612 0.7522 0.2522
S 0.7444 0.7627 0.7484
S 0.7444 0.2484 0.2627
S 0.2656 0.2478 0.7478
S 0.7388 0.2478 0.7478
```

Calculated values
Raw formation energy, eV per formula unit: -8.131
Space group: Imma, No. 74
V, Å³/f.u.: 117.1
Final energy, eV per formula unit: -95.4

=====

Which of these has the highest V?
Ti5CuS10